Below is crystalline Pr4SiAuI2 at its relaxed geometry, with properties calculated at the PBE level.

a b c (Å): 7.8320 4.3069 7.9980
angles (deg): 90.00 107.27 90.00
Fractional coordinates of all 8 atoms:
Pr1 0.2256 0.0000 0.2064
Pr2 0.2627 0.5000 0.7957
Pr3 0.7373 0.5000 0.2043
Pr4 0.7744 0.0000 0.7936
Si1 0.0000 0.5000 0.0000
Au1 0.5000 0.0000 0.0000
I1 0.0000 0.0000 0.5000
I2 0.5000 0.5000 0.5000

Properties
formation energy from raw total energies = -874 meV per atom
V = 32.20 A^3/atom
D(E_F) = 0.811 states/eV/atom